## a
Here is a relaxed PrNpBi2 crystal from the Alexandria database. Energies are from PBE-GGA.

Properties
As for the size of the total moment: 5.0 μB/f.u.

Unit cell a=3.4924 b=3.4924 c=36.1560 alpha=90.00 beta=90.00 gamma=120.00
Space group R-3m (No. 166, hexagonal axes)
Inequivalent atoms, fractional coordinates:
Pr: 0.0000 0.0000 0.0000
Np: 0.0000 0.0000 0.5000
Bi: 0.0000 0.0000 0.0913


## b
Here is a relaxed PrNpBi2 crystal from the Alexandria database. Energies are from PBE-GGA.

Properties
As for the size of the total moment: 4.7 μB/f.u.

Unit cell a=5.9645 b=5.9645 c=3.3938 alpha=90.00 beta=90.00 gamma=90.00
Space group P4/mmm (No. 123)
Inequivalent atoms, fractional coordinates:
Pr: 0.0000 0.0000 0.0000
Np: 0.5000 0.5000 0.0000
Bi: 0.0000 0.5000 0.5000


List of relative energies, unit meV per atom: a 455; b 0


## a
Here is a relaxed RbNpBi2 crystal from the Alexandria database. Energies are from PBE-GGA.

Properties
As for the size of the total moment: 4.7 μB/f.u.

Unit cell a=3.5707 b=3.5707 c=10.3135 alpha=90.00 beta=90.00 gamma=90.00
Space group P4/mmm (No. 123)
Inequivalent atoms, fractional coordinates:
Rb: 0.0000 0.0000 0.0000
Np: 0.0000 0.0000 0.5000
Bi: 0.5000 0.5000 0.2789


## b
Here is a relaxed RbNpBi2 crystal from the Alexandria database. Energies are from PBE-GGA.

Properties
As for the size of the total moment: 3.2 μB/f.u.

Unit cell a=4.7392 b=4.7392 c=25.5646 alpha=90.00 beta=90.00 gamma=120.00
Space group R-3m (No. 166, hexagonal axes)
Inequivalent atoms, fractional coordinates:
Rb: 0.0000 0.0000 0.0000
Np: 0.0000 0.0000 0.5000
Bi: 0.0000 0.0000 0.2282


## c
Here is a relaxed RbNpBi2 crystal from the Alexandria database. Energies are from PBE-GGA.

Properties
As for the size of the total moment: 3.2 μB/f.u.

Unit cell a=4.6958 b=4.6958 c=26.1390 alpha=90.00 beta=90.00 gamma=120.00
Space group R3m (No. 160, hexagonal axes)
Inequivalent atoms, fractional coordinates:
Rb: 0.0000 0.0000 0.0000
Np: 0.0000 0.0000 0.1696
Bi: 0.0000 0.0000 0.5645
Bi: 0.0000 0.0000 0.7739


List of relative energies, unit meV per atom: a 0; b 171; c 184


## a
Here is a relaxed NpBiS3 crystal from the Alexandria database. Energies are from PBE-GGA.

Properties
As for the size of the total moment: 3.1 μB/f.u.

Unit cell a=6.5870 b=4.0184 c=10.5694 alpha=90.00 beta=103.22 gamma=90.00
Space group P2_1/m (No. 11)
Inequivalent atoms, fractional coordinates:
Np: 0.2282 0.2500 0.4229
Bi: 0.2184 0.2500 0.9199
S: 0.0575 0.2500 0.6334
S: 0.0892 0.2500 0.1409
S: 0.4575 0.7500 0.3655


## b
Here is a relaxed NpBiS3 crystal from the Alexandria database. Energies are from PBE-GGA.

Properties
As for the size of the total moment: 3.8 μB/f.u.

Unit cell a=7.4376 b=4.1729 c=15.2346 alpha=90.00 beta=90.00 gamma=90.00
Space group Pnma (No. 62)
Inequivalent atoms, fractional coordinates:
Np: 0.2490 0.2500 0.0282
Bi: 0.0647 0.2500 0.7740
S: 0.0345 0.2500 0.5935
S: 0.1183 0.7500 0.9340
S: 0.1947 0.2500 0.2170


List of relative energies, unit meV per atom: a 64; b 0


## a
Here is a relaxed Np2BiSb crystal from the Alexandria database. Energies are from PBE-GGA.

Properties
As for the size of the total moment: 8.7 μB/f.u.

Unit cell a=3.6952 b=3.6952 c=7.9284 alpha=90.00 beta=90.00 gamma=90.00
Space group P4/mmm (No. 123)
Inequivalent atoms, fractional coordinates:
Np: 0.0000 0.0000 0.2296
Bi: 0.5000 0.5000 0.5000
Sb: 0.5000 0.5000 0.0000


## b
Here is a relaxed Np2BiSb crystal from the Alexandria database. Energies are from PBE-GGA.

Properties
As for the size of the total moment: 8.4 μB/f.u.

Unit cell a=7.5546 b=7.5546 c=7.5546 alpha=90.00 beta=90.00 gamma=90.00
Space group Fm-3m (No. 225)
Inequivalent atoms, fractional coordinates:
Np: 0.2500 0.2500 0.2500
Bi: 0.0000 0.0000 0.0000
Sb: 0.0000 0.0000 0.5000


List of relative energies, unit meV per atom: a 0; b 31